First-principles (SCAN) data for a PBEsol-optimized structure of TiP4O12, as listed in the Alexandria database.

Values from the calculation:
The calculation puts the uncorrected formation energy at -4063.5 kJ/mol of formula units. The calculation puts the calculated total energy at -349.03 eV for the cell shown. Its space group is No. 15.

Unit cell a=6.993 b=6.993 c=9.422 alpha=92.94 beta=92.94 gamma=109.11
Positions (direct):
1 Ti 0.114 0.886 0.750
2 Ti 0.886 0.114 0.250
3 P 0.217 0.272 0.534
4 P 0.272 0.217 0.034
5 P 0.284 0.636 0.968
6 P 0.364 0.716 0.532
7 P 0.636 0.284 0.468
8 P 0.716 0.364 0.032
9 P 0.728 0.783 0.966
10 P 0.783 0.728 0.466
11 O 0.061 0.262 0.414
12 O 0.138 0.142 0.154
13 O 0.140 0.664 0.849
14 O 0.142 0.138 0.654
15 O 0.215 0.392 0.962
16 O 0.262 0.061 0.914
17 O 0.262 0.699 0.391
18 O 0.301 0.738 0.109
19 O 0.315 0.496 0.603
20 O 0.336 0.860 0.651
21 O 0.392 0.215 0.462
22 O 0.496 0.315 0.103
23 O 0.504 0.685 0.897
24 O 0.608 0.785 0.538
25 O 0.664 0.140 0.349
26 O 0.685 0.504 0.397
27 O 0.699 0.262 0.891
28 O 0.738 0.301 0.609
29 O 0.738 0.939 0.086
30 O 0.785 0.608 0.038
31 O 0.858 0.862 0.346
32 O 0.860 0.336 0.151
33 O 0.862 0.858 0.846
34 O 0.939 0.738 0.586


First-principles (SCAN) data for a PBEsol-optimized structure of TiP3O9, as listed in the Alexandria database.

Values from the calculation:
The calculation puts the uncorrected formation energy at -3220.1 kJ/mol of formula units. The calculation puts the calculated total energy at -820.08 eV for the cell shown. Its space group is No. 9.

Unit cell a=11.782 b=11.782 c=9.602 alpha=109.98 beta=109.98 gamma=110.82
Positions (direct):
1 Ti 0.079 0.921 0.500
2 Ti 0.226 0.737 0.965
3 Ti 0.414 0.591 0.501
4 Ti 0.591 0.414 0.001
5 Ti 0.737 0.226 0.465
6 Ti 0.921 0.079 0.000
7 P 0.153 0.550 0.151
8 P 0.208 0.482 0.651
9 P 0.242 0.285 0.773
10 P 0.268 0.996 0.313
11 P 0.285 0.242 0.273
12 P 0.327 0.934 0.804
13 P 0.482 0.208 0.151
14 P 0.550 0.153 0.651
15 P 0.566 0.941 0.756
16 P 0.581 0.869 0.207
17 P 0.619 0.675 0.337
18 P 0.675 0.619 0.837
19 P 0.830 0.893 0.175
20 P 0.869 0.581 0.707
21 P 0.893 0.830 0.675
22 P 0.934 0.327 0.304
23 P 0.941 0.566 0.256
24 P 0.996 0.268 0.813
25 O 0.018 0.667 0.863
26 O 0.025 0.911 0.677
27 O 0.027 0.406 0.968
28 O 0.060 0.602 0.209
29 O 0.069 0.361 0.464
30 O 0.133 0.162 0.127
31 O 0.142 0.929 0.328
32 O 0.155 0.312 0.861
33 O 0.162 0.133 0.627
34 O 0.171 0.545 0.779
35 O 0.233 0.520 0.278
36 O 0.238 0.660 0.124
37 O 0.239 0.804 0.800
38 O 0.259 0.918 0.146
39 O 0.262 0.385 0.694
40 O 0.265 0.939 0.643
41 O 0.312 0.155 0.361
42 O 0.315 0.584 0.635
43 O 0.346 0.387 0.422
44 O 0.361 0.069 0.964
45 O 0.385 0.262 0.194
46 O 0.387 0.346 0.922
47 O 0.406 0.027 0.468
48 O 0.437 0.818 0.066
49 O 0.470 0.797 0.590
50 O 0.485 0.965 0.856
51 O 0.514 0.589 0.370
52 O 0.520 0.233 0.778
53 O 0.545 0.171 0.279
54 O 0.559 0.759 0.270
55 O 0.584 0.315 0.135
56 O 0.589 0.514 0.870
57 O 0.596 0.654 0.716
58 O 0.602 0.060 0.709
59 O 0.654 0.596 0.216
60 O 0.660 0.238 0.624
61 O 0.667 0.018 0.363
62 O 0.668 0.849 0.113
63 O 0.707 0.977 0.887
64 O 0.759 0.559 0.770
65 O 0.760 0.805 0.519
66 O 0.797 0.470 0.090
67 O 0.804 0.239 0.300
68 O 0.805 0.760 0.019
69 O 0.818 0.437 0.566
70 O 0.849 0.668 0.613
71 O 0.894 0.895 0.341
72 O 0.895 0.894 0.841
73 O 0.911 0.025 0.177
74 O 0.918 0.259 0.646
75 O 0.929 0.142 0.828
76 O 0.939 0.265 0.143
77 O 0.965 0.485 0.356
78 O 0.977 0.707 0.387


First-principles (SCAN) data for a PBEsol-optimized structure of TiV3P6O24, as listed in the Alexandria database.

Values from the calculation:
The calculation puts the uncorrected formation energy at -8312.8 kJ/mol of formula units. The calculation puts the calculated total energy at -366.59 eV for the cell shown. Its space group is No. 146.

Unit cell a=8.671 b=8.671 c=8.671 alpha=58.07 beta=58.07 gamma=58.07
Positions (direct):
1 Ti 0.000 0.000 0.000
2 V 0.220 0.220 0.220
3 V 0.499 0.499 0.499
4 V 0.719 0.719 0.719
5 P 0.111 0.391 0.828
6 P 0.335 0.891 0.604
7 P 0.391 0.828 0.111
8 P 0.604 0.335 0.891
9 P 0.828 0.111 0.391
10 P 0.891 0.604 0.335
11 O 0.083 0.437 0.287
12 O 0.104 0.210 0.847
13 O 0.148 0.362 0.998
14 O 0.162 0.901 0.792
15 O 0.210 0.847 0.104
16 O 0.273 0.446 0.635
17 O 0.287 0.083 0.437
18 O 0.362 0.998 0.148
19 O 0.367 0.727 0.558
20 O 0.437 0.287 0.083
21 O 0.446 0.635 0.273
22 O 0.518 0.869 0.614
23 O 0.558 0.367 0.727
24 O 0.564 0.817 0.919
25 O 0.614 0.518 0.869
26 O 0.635 0.273 0.446
27 O 0.727 0.558 0.367
28 O 0.792 0.162 0.901
29 O 0.817 0.919 0.564
30 O 0.847 0.104 0.210
31 O 0.869 0.614 0.518
32 O 0.901 0.792 0.162
33 O 0.919 0.564 0.817
34 O 0.998 0.148 0.362


First-principles (SCAN) data for a PBEsol-optimized structure of TiVP2O8, as listed in the Alexandria database.

Values from the calculation:
The calculation puts the uncorrected formation energy at -3146.4 kJ/mol of formula units. The calculation puts the calculated total energy at -410.33 eV for the cell shown. Its space group is No. 146.

Unit cell a=8.388 b=8.388 c=8.388 alpha=61.63 beta=61.63 gamma=61.63
Positions (direct):
1 Ti 0.000 0.000 0.000
2 Ti 0.217 0.217 0.217
3 Ti 0.717 0.717 0.717
4 V 0.356 0.356 0.356
5 V 0.498 0.498 0.498
6 V 0.859 0.859 0.859
7 P 0.109 0.813 0.402
8 P 0.316 0.608 0.898
9 P 0.402 0.109 0.813
10 P 0.608 0.898 0.316
11 P 0.813 0.402 0.109
12 P 0.898 0.316 0.608
13 O 0.032 0.862 0.246
14 O 0.099 0.303 0.450
15 O 0.115 0.766 0.918
16 O 0.182 0.971 0.356
17 O 0.246 0.032 0.862
18 O 0.264 0.613 0.413
19 O 0.303 0.450 0.099
20 O 0.354 0.539 0.742
21 O 0.356 0.182 0.971
22 O 0.413 0.264 0.613
23 O 0.450 0.099 0.303
24 O 0.474 0.679 0.855
25 O 0.539 0.742 0.354
26 O 0.602 0.951 0.801
27 O 0.613 0.413 0.264
28 O 0.679 0.855 0.474
29 O 0.742 0.354 0.539
30 O 0.766 0.918 0.115
31 O 0.801 0.602 0.951
32 O 0.855 0.474 0.679
33 O 0.862 0.246 0.032
34 O 0.918 0.115 0.766
35 O 0.951 0.801 0.602
36 O 0.971 0.356 0.182


First-principles (SCAN) data for a PBEsol-optimized structure of TiVP3O12, as listed in the Alexandria database.

Values from the calculation:
The calculation puts the uncorrected formation energy at -4272.7 kJ/mol of formula units. The calculation puts the calculated total energy at -367.55 eV for the cell shown. Its space group is No. 161.

Unit cell a=8.708 b=8.708 c=8.708 alpha=58.31 beta=58.31 gamma=58.31
Positions (direct):
1 Ti 0.000 0.000 0.000
2 Ti 0.500 0.500 0.500
3 V 0.279 0.279 0.279
4 V 0.779 0.779 0.779
5 P 0.106 0.396 0.665
6 P 0.165 0.896 0.606
7 P 0.396 0.665 0.106
8 P 0.606 0.165 0.896
9 P 0.665 0.106 0.396
10 P 0.896 0.606 0.165
11 O 0.067 0.226 0.848
12 O 0.079 0.425 0.190
13 O 0.133 0.372 0.488
14 O 0.140 0.924 0.776
15 O 0.190 0.079 0.425
16 O 0.226 0.848 0.067
17 O 0.276 0.424 0.640
18 O 0.348 0.726 0.567
19 O 0.372 0.488 0.133
20 O 0.424 0.640 0.276
21 O 0.425 0.190 0.079
22 O 0.488 0.133 0.372
23 O 0.567 0.348 0.726
24 O 0.579 0.690 0.925
25 O 0.633 0.988 0.872
26 O 0.640 0.276 0.424
27 O 0.690 0.925 0.579
28 O 0.726 0.567 0.348
29 O 0.776 0.140 0.924
30 O 0.848 0.067 0.226
31 O 0.872 0.633 0.988
32 O 0.924 0.776 0.140
33 O 0.925 0.579 0.690
34 O 0.988 0.872 0.633


First-principles (SCAN) data for a PBEsol-optimized structure of TiPWO2, as listed in the Alexandria database.

Values from the calculation:
The calculation puts the uncorrected formation energy at -550.6 kJ/mol of formula units. The calculation puts the calculated total energy at -114.29 eV for the cell shown. Its space group is No. 123.

Unit cell a=3.775 b=3.775 c=5.093 alpha=90.00 beta=90.00 gamma=90.00
Positions (direct):
1 Ti 0.000 0.000 0.000
2 P 0.500 0.500 0.000
3 W 0.500 0.500 0.500
4 O 0.000 0.500 0.500
5 O 0.500 0.000 0.500


First-principles (SCAN) data for a PBEsol-optimized structure of TiP2WO, as listed in the Alexandria database.

Values from the calculation:
The calculation puts the uncorrected formation energy at 26.9 kJ/mol of formula units. The calculation puts the calculated total energy at -112.47 eV for the cell shown. Its space group is No. 123.

Unit cell a=4.721 b=4.721 c=3.518 alpha=90.00 beta=90.00 gamma=90.00
Positions (direct):
1 Ti 0.000 0.000 0.000
2 P 0.000 0.500 0.000
3 P 0.500 0.000 0.000
4 W 0.500 0.500 0.500
5 O 0.000 0.000 0.500


First-principles (SCAN) data for a PBEsol-optimized structure of TiP3WO12, as listed in the Alexandria database.

Values from the calculation:
The calculation puts the uncorrected formation energy at -4168.3 kJ/mol of formula units. The calculation puts the calculated total energy at -469.78 eV for the cell shown. Its space group is No. 161.

Unit cell a=8.843 b=8.843 c=8.843 alpha=58.28 beta=58.28 gamma=58.28
Positions (direct):
1 Ti 0.000 0.000 0.000
2 Ti 0.500 0.500 0.500
3 P 0.111 0.389 0.824
4 P 0.324 0.889 0.611
5 P 0.389 0.824 0.111
6 P 0.611 0.324 0.889
7 P 0.824 0.111 0.389
8 P 0.889 0.611 0.324
9 W 0.217 0.217 0.217
10 W 0.717 0.717 0.717
11 O 0.000 0.133 0.364
12 O 0.069 0.433 0.300
13 O 0.081 0.219 0.856
14 O 0.133 0.364 0.000
15 O 0.149 0.922 0.782
16 O 0.219 0.856 0.081
17 O 0.282 0.422 0.649
18 O 0.300 0.069 0.433
19 O 0.356 0.719 0.581
20 O 0.364 0.000 0.133
21 O 0.422 0.649 0.282
22 O 0.433 0.300 0.069
23 O 0.500 0.864 0.633
24 O 0.569 0.800 0.933
25 O 0.581 0.356 0.719
26 O 0.633 0.500 0.864
27 O 0.649 0.282 0.422
28 O 0.719 0.581 0.356
29 O 0.782 0.149 0.922
30 O 0.800 0.933 0.569
31 O 0.856 0.081 0.219
32 O 0.864 0.633 0.500
33 O 0.922 0.782 0.149
34 O 0.933 0.569 0.800


First-principles (SCAN) data for a PBEsol-optimized structure of TiP6W3O24, as listed in the Alexandria database.

Values from the calculation:
The calculation puts the uncorrected formation energy at -7840.2 kJ/mol of formula units. The calculation puts the calculated total energy at -518.29 eV for the cell shown. Its space group is No. 146.

Unit cell a=8.886 b=8.886 c=8.886 alpha=58.22 beta=58.22 gamma=58.22
Positions (direct):
1 Ti 0.000 0.000 0.000
2 P 0.108 0.679 0.389
3 P 0.174 0.612 0.893
4 P 0.389 0.108 0.679
5 P 0.612 0.893 0.174
6 P 0.679 0.389 0.108
7 P 0.893 0.174 0.612
8 W 0.285 0.285 0.285
9 W 0.499 0.499 0.499
10 W 0.784 0.784 0.784
11 O 0.003 0.636 0.867
12 O 0.066 0.202 0.432
13 O 0.082 0.852 0.216
14 O 0.136 0.503 0.368
15 O 0.146 0.783 0.916
16 O 0.202 0.432 0.066
17 O 0.216 0.082 0.852
18 O 0.280 0.646 0.418
19 O 0.352 0.578 0.720
20 O 0.368 0.136 0.503
21 O 0.418 0.280 0.646
22 O 0.432 0.066 0.202
23 O 0.503 0.368 0.136
24 O 0.564 0.932 0.704
25 O 0.578 0.720 0.352
26 O 0.636 0.867 0.003
27 O 0.646 0.418 0.280
28 O 0.704 0.564 0.932
29 O 0.720 0.352 0.578
30 O 0.783 0.916 0.146
31 O 0.852 0.216 0.082
32 O 0.867 0.003 0.636
33 O 0.916 0.146 0.783
34 O 0.932 0.704 0.564


First-principles (SCAN) data for a PBEsol-optimized structure of TiZnP3WO12, as listed in the Alexandria database.

Values from the calculation:
The calculation puts the uncorrected formation energy at -4063.7 kJ/mol of formula units. The calculation puts the calculated total energy at -494.64 eV for the cell shown. Its space group is No. 161.

Unit cell a=8.556 b=8.556 c=8.556 alpha=60.67 beta=60.67 gamma=60.67
Positions (direct):
1 Ti 0.000 0.000 0.000
2 Ti 0.500 0.500 0.500
3 Zn 0.141 0.141 0.141
4 Zn 0.641 0.641 0.641
5 P 0.101 0.392 0.692
6 P 0.192 0.892 0.601
7 P 0.392 0.692 0.101
8 P 0.601 0.192 0.892
9 P 0.692 0.101 0.392
10 P 0.892 0.601 0.192
11 W 0.286 0.286 0.286
12 W 0.786 0.786 0.786
13 O 0.035 0.827 0.640
14 O 0.050 0.400 0.207
15 O 0.086 0.233 0.887
16 O 0.140 0.327 0.535
17 O 0.144 0.963 0.756
18 O 0.207 0.050 0.400
19 O 0.233 0.887 0.086
20 O 0.256 0.463 0.644
21 O 0.327 0.535 0.140
22 O 0.387 0.733 0.586
23 O 0.400 0.207 0.050
24 O 0.463 0.644 0.256
25 O 0.535 0.140 0.327
26 O 0.550 0.707 0.900
27 O 0.586 0.387 0.733
28 O 0.640 0.035 0.827
29 O 0.644 0.256 0.463
30 O 0.707 0.900 0.550
31 O 0.733 0.586 0.387
32 O 0.756 0.144 0.963
33 O 0.827 0.640 0.035
34 O 0.887 0.086 0.233
35 O 0.900 0.550 0.707
36 O 0.963 0.756 0.144


First-principles (SCAN) data for a PBEsol-optimized structure of TiZnPO2, as listed in the Alexandria database.

Values from the calculation:
The calculation puts the uncorrected formation energy at -161.5 kJ/mol of formula units. The calculation puts the calculated total energy at -54.08 eV for the cell shown. Its space group is No. 123.

Unit cell a=3.715 b=3.715 c=4.694 alpha=90.00 beta=90.00 gamma=90.00
Positions (direct):
1 Ti 0.000 0.000 0.000
2 Zn 0.500 0.500 0.500
3 P 0.500 0.500 0.000
4 O 0.000 0.500 0.500
5 O 0.500 0.000 0.500


Calculated M_tot, 0.26; 6.00; 1.00; 7.69; 0.00; 1.88; 1.97; 2.03; 4.00; 6.00; 0.01 μB/cell (same order as the records).